A plane-wave DFT calculation with PBE was carried out for CaSn2Te6Pb3 after structural relaxation.

Geometry as CIF:
```
data_CaSn2Te6Pb3
_space_group_name_H-M_alt 'C 1 2/m 1'
_space_group_IT_number 12
_cell_length_a 19.992
_cell_length_b 4.584
_cell_length_c 9.168
_cell_angle_alpha 90.00
_cell_angle_beta 103.27
_cell_angle_gamma 90.00
loop_
_space_group_symop_operation_xyz
'x,y,z'
'-x,-y,-z'
'-x,y,-z'
'x,-y,z'
'x+1/2,y+1/2,z'
'-x+1/2,-y+1/2,-z'
'-x+1/2,y+1/2,-z'
'x+1/2,-y+1/2,z'
loop_
_atom_site_label
_atom_site_fract_x
_atom_site_fract_y
_atom_site_fract_z
_atom_site_occupancy
Ca1 0.000 0.000 0.000 1
Sn1 0.167 0.500 0.332 1
Te1 0.002 0.500 0.245 1
Te2 0.165 0.000 0.088 1
Te3 0.169 0.000 0.579 1
Pb1 0.000 0.000 0.500 1
Pb2 0.166 0.500 0.833 1
```

Calculated values
Raw total energy: -93.5 eV per cell
Formation energy (no corrections): -0.565 eV per atom



A plane-wave DFT calculation with PBE was carried out for Tb2ZnS4 after structural relaxation.

Geometry as CIF:
```
data_Tb2ZnS4
_space_group_name_H-M_alt 'P 1 21/m 1'
_space_group_IT_number 11
_cell_length_a 6.446
_cell_length_b 6.716
_cell_length_c 7.503
_cell_angle_alpha 90.00
_cell_angle_beta 107.07
_cell_angle_gamma 90.00
loop_
_space_group_symop_operation_xyz
'x,y,z'
'-x,-y,-z'
'-x,y+1/2,-z'
'x,-y+1/2,z'
loop_
_atom_site_label
_atom_site_fract_x
_atom_site_fract_y
_atom_site_fract_z
_atom_site_occupancy
Tb1 0.215 0.250 0.055 1
Tb2 0.226 0.250 0.556 1
Zn1 0.257 0.750 0.813 1
S1 0.004 0.505 0.253 1
S2 0.466 0.750 0.615 1
S3 0.468 0.750 0.117 1
```

Calculated values
Relative energy among the computed polymorphs: 87.6 meV per atom
Raw total energy: -76.1 eV per cell
Formation energy (no corrections): -1.569 eV per atom



A plane-wave DFT calculation with PBE was carried out for Sm2GdTm after structural relaxation.

Geometry as CIF:
```
data_Sm2GdTm
_space_group_name_H-M_alt 'P 4/m m m'
_space_group_IT_number 123
_space_group_name_Hall '-P 4 2'
_cell_length_a 3.584
_cell_length_b 3.584
_cell_length_c 10.098
_cell_angle_alpha 90.00
_cell_angle_beta 90.00
_cell_angle_gamma 90.00
loop_
_atom_site_label
_atom_site_fract_x
_atom_site_fract_y
_atom_site_fract_z
_atom_site_occupancy
Sm1 0.000 0.000 0.246 1
Gd1 0.500 0.500 0.500 1
Tm1 0.500 0.500 0.000 1
```

Calculated values
Relative energy among the computed polymorphs: 4.8 meV per atom
ΔE_f: 0.08 eV per formula unit
Raw total energy: -27.9 eV per cell



- Which formula does entry 1 have?
  CaSn2Te6Pb3



Please write out number 2 again, unchanged.
A plane-wave DFT calculation with PBE was carried out for Tb2ZnS4 after structural relaxation.

Geometry as CIF:
```
data_Tb2ZnS4
_space_group_name_H-M_alt 'P 1 21/m 1'
_space_group_IT_number 11
_cell_length_a 6.446
_cell_length_b 6.716
_cell_length_c 7.503
_cell_angle_alpha 90.00
_cell_angle_beta 107.07
_cell_angle_gamma 90.00
loop_
_space_group_symop_operation_xyz
'x,y,z'
'-x,-y,-z'
'-x,y+1/2,-z'
'x,-y+1/2,z'
loop_
_atom_site_label
_atom_site_fract_x
_atom_site_fract_y
_atom_site_fract_z
_atom_site_occupancy
Tb1 0.215 0.250 0.055 1
Tb2 0.226 0.250 0.556 1
Zn1 0.257 0.750 0.813 1
S1 0.004 0.505 0.253 1
S2 0.466 0.750 0.615 1
S3 0.468 0.750 0.117 1
```

Calculated values
Relative energy among the computed polymorphs: 87.6 meV per atom
Raw total energy: -76.1 eV per cell
Formation energy (no corrections): -1.569 eV per atom